{
  "formula": "CdGeRh2W",
  "functional": "PBE",
  "state": "optimized geometry",
  "lattice": [[-2.032, -2.881, -3.314], [4.475, -1.958, -1.041], [-0.699, -3.393, 3.378]],
  "species": ["W", "Rh", "Rh", "Cd", "Ge"],
  "fractional_positions": [[0.000, 0.500, 0.000], [0.500, 0.000, 0.000], [0.000, 0.000, 0.500], [0.000, 0.000, 0.000], [0.500, 0.500, 0.500]],
  "formation_enthalpy_0k_mev_per_atom": 2094,
  "dos_at_fermi_per_ev_atom": 1.091,
  "e_tot_ha_per_atom": -0.167
}

{
  "formula": "CdGe2Ru",
  "functional": "PBE",
  "state": "optimized geometry",
  "lattice": [[-0.194, 2.031, -2.326], [0.123, -0.987, -2.930], [-8.931, -0.575, -1.815]],
  "species": ["Ge", "Ge", "Cd", "Ru"],
  "fractional_positions": [[0.900, 0.900, 0.299], [0.100, 0.100, 0.701], [0.000, 0.000, 0.000], [0.500, 0.500, 0.500]],
  "formation_enthalpy_0k_mev_per_atom": -38,
  "relative_energy_ev_per_fu": 0.00,
  "dos_at_fermi_per_ev_atom": 0.386,
  "e_tot_ha_per_atom": -0.180
}

{
  "formula": "Cd2GeRu",
  "functional": "PBE",
  "state": "optimized geometry",
  "lattice": [[-6.302, 5.196, 3.877], [-6.084, -6.608, -1.033], [-5.604, -1.581, 3.552]],
  "species": ["Cd", "Cd", "Cd", "Cd", "Ge", "Ge", "Ru", "Ru"],
  "fractional_positions": [[0.875, 0.982, 0.750], [0.018, 0.625, 0.250], [0.375, 0.268, 0.750], [0.732, 0.125, 0.250], [0.250, 0.750, 0.500], [0.500, 0.500, 0.000], [0.750, 0.250, 0.500], [0.000, 0.000, 0.000]],
  "formation_enthalpy_0k_mev_per_atom": 401,
  "relative_energy_ev_per_fu": 0.00,
  "dos_at_fermi_per_ev_atom": 0.360,
  "e_tot_ha_per_atom": -0.130
}

{
  "formula": "Cd2GeRu",
  "functional": "PBE",
  "state": "optimized geometry",
  "lattice": [[0.000, 3.347, 3.347], [3.347, 0.000, 3.347], [3.347, 3.347, 0.000]],
  "species": ["Ru", "Cd", "Cd", "Ge"],
  "fractional_positions": [[0.500, 0.500, 0.500], [0.750, 0.750, 0.750], [0.250, 0.250, 0.250], [0.000, 0.000, 0.000]],
  "formation_enthalpy_0k_mev_per_atom": 493,
  "relative_energy_ev_per_fu": 0.37,
  "dos_at_fermi_per_ev_atom": 0.734,
  "e_tot_ha_per_atom": -0.126
}

{
  "formula": "CdGe3Ru",
  "functional": "PBE",
  "state": "optimized geometry",
  "lattice": [[4.839, 0.000, 0.000], [0.000, 4.839, 0.000], [0.000, 0.000, 4.839]],
  "species": ["Ru", "Ge", "Ge", "Ge", "Cd"],
  "fractional_positions": [[0.000, 0.000, 0.000], [0.000, 0.000, 0.500], [0.500, 0.000, 0.000], [0.000, 0.500, 0.000], [0.500, 0.500, 0.500]],
  "formation_enthalpy_0k_mev_per_atom": 251,
  "relative_energy_ev_per_fu": 0.00,
  "dos_at_fermi_per_ev_atom": 1.057,
  "e_tot_ha_per_atom": -0.168
}

{
  "formula": "CdGe2Ru",
  "functional": "PBE",
  "state": "optimized geometry",
  "lattice": [[6.208, 0.000, 0.000], [0.000, 6.208, 0.000], [3.104, 3.104, 5.213]],
  "species": ["Ge", "Ge", "Ge", "Ge", "Cd", "Cd", "Ru", "Ru"],
  "fractional_positions": [[0.181, 0.625, 0.250], [0.875, 0.819, 0.750], [0.569, 0.125, 0.250], [0.375, 0.431, 0.750], [0.000, 0.000, 0.000], [0.750, 0.250, 0.500], [0.500, 0.500, 0.000], [0.250, 0.750, 0.500]],
  "formation_enthalpy_0k_mev_per_atom": 414,
  "relative_energy_ev_per_fu": 1.81,
  "dos_at_fermi_per_ev_atom": 0.705,
  "e_tot_ha_per_atom": -0.163
}

{
  "formula": "CdGe2Ru2",
  "functional": "PBE",
  "state": "optimized geometry",
  "lattice": [[7.264, 0.000, 0.000], [0.000, 7.264, 0.000], [0.000, 0.000, 3.001]],
  "species": ["Cd", "Cd", "Ru", "Ru", "Ru", "Ru", "Ge", "Ge", "Ge", "Ge"],
  "fractional_positions": [[0.500, 0.500, 0.000], [0.000, 0.000, 0.000], [0.354, 0.854, 0.000], [0.146, 0.354, 0.000], [0.854, 0.646, 0.000], [0.646, 0.146, 0.000], [0.851, 0.351, 0.500], [0.149, 0.649, 0.500], [0.351, 0.149, 0.500], [0.649, 0.851, 0.500]],
  "formation_enthalpy_0k_mev_per_atom": -119,
  "dos_at_fermi_per_ev_atom": 0.469,
  "e_tot_ha_per_atom": -0.215
}

{
  "formula": "CdGe2Ru",
  "functional": "PBE",
  "state": "optimized geometry",
  "lattice": [[0.000, 3.237, 3.237], [3.237, 0.000, 3.237], [3.237, 3.237, 0.000]],
  "species": ["Ru", "Cd", "Ge", "Ge"],
  "fractional_positions": [[0.000, 0.000, 0.000], [0.500, 0.500, 0.500], [0.750, 0.750, 0.750], [0.250, 0.250, 0.250]],
  "formation_enthalpy_0k_mev_per_atom": 338,
  "relative_energy_ev_per_fu": 1.50,
  "dos_at_fermi_per_ev_atom": 0.856,
  "e_tot_ha_per_atom": -0.166
}

{
  "formula": "CdGeRu2",
  "functional": "PBE",
  "state": "optimized geometry",
  "lattice": [[-3.015, -2.528, 1.037], [-0.427, -1.090, -3.897], [4.325, -8.522, -0.216]],
  "species": ["Ru", "Ru", "Ru", "Ru", "Ge", "Ge", "Cd", "Cd"],
  "fractional_positions": [[0.536, 0.125, 0.250], [0.214, 0.625, 0.250], [0.875, 0.786, 0.750], [0.375, 0.464, 0.750], [0.500, 0.500, 0.000], [0.250, 0.750, 0.500], [0.000, 0.000, 0.000], [0.750, 0.250, 0.500]],
  "formation_enthalpy_0k_mev_per_atom": 571,
  "relative_energy_ev_per_fu": 2.13,
  "dos_at_fermi_per_ev_atom": 0.626,
  "e_tot_ha_per_atom": -0.200
}

{
  "formula": "CdGeRu2",
  "functional": "PBE",
  "state": "optimized geometry",
  "lattice": [[-0.766, -2.814, 0.914], [-0.112, -0.916, -2.914], [6.422, -1.659, 0.274]],
  "species": ["Ru", "Ru", "Cd", "Ge"],
  "fractional_positions": [[0.000, 0.000, 0.789], [0.000, 0.000, 0.211], [0.500, 0.500, 0.500], [0.500, 0.500, 0.000]],
  "formation_enthalpy_0k_mev_per_atom": 37,
  "relative_energy_ev_per_fu": 0.00,
  "dos_at_fermi_per_ev_atom": 1.291,
  "e_tot_ha_per_atom": -0.220
}

{
  "formula": "SrCdGeRu",
  "functional": "PBE",
  "state": "optimized geometry",
  "lattice": [[4.341, 0.000, 0.000], [0.000, 4.341, 0.000], [0.000, 0.000, 10.897]],
  "species": ["Sr", "Sr", "Cd", "Cd", "Ge", "Ge", "Ru", "Ru"],
  "fractional_positions": [[0.250, 0.250, 0.773], [0.750, 0.750, 0.227], [0.750, 0.250, 0.500], [0.250, 0.750, 0.500], [0.750, 0.750, 0.894], [0.250, 0.250, 0.106], [0.750, 0.250, 0.000], [0.250, 0.750, 0.000]],
  "formation_enthalpy_0k_mev_per_atom": -359,
  "dos_at_fermi_per_ev_atom": 0.549,
  "e_tot_ha_per_atom": -0.165
}

{
  "formula": "Cd2GeS",
  "functional": "PBE",
  "state": "optimized geometry",
  "lattice": [[2.576, 0.719, 4.129], [2.938, 3.924, 0.414], [-1.210, 3.668, 3.047]],
  "species": ["Cd", "Cd", "S", "Ge"],
  "fractional_positions": [[0.250, 0.250, 0.250], [0.750, 0.750, 0.750], [0.000, 0.000, 0.000], [0.500, 0.500, 0.500]],
  "relative_energy_ev_per_fu": 1.26,
  "dos_at_fermi_per_ev_atom": 1.447,
  "e_tot_ha_per_atom": -0.085
}